No. 1
{
  "formula": "V3Ge2H",
  "functional": "PBE",
  "state": "optimized geometry",
  "magmom_total_mub_per_cell": 0.00,
  "space_group": "C2/c",
  "final_energy_ev_per_atom": -6.732,
  "cell": [[-2.1530, 3.1537, -3.0908], [-3.1446, -3.9437, -1.8335], [-2.1406, 0.4863, 5.8915]],
  "species": ["Ge", "Ge", "Ge", "Ge", "V", "V", "V", "V", "V", "V", "H", "H"],
  "frac_coords": [[0.7222, 0.5802, 0.3886], [0.2778, 0.4198, 0.6114], [0.3336, 0.9198, 0.6114], [0.6664, 0.0802, 0.3886], [0.9205, 0.9150, 0.7940], [0.5114, 0.2500, 0.0000], [0.0795, 0.0850, 0.2060], [0.4886, 0.7500, 0.0000], [0.8735, 0.4150, 0.7940], [0.1265, 0.5850, 0.2060], [0.8642, 0.7500, 0.0000], [0.1358, 0.2500, 0.0000]]
}

---

No. 2
{
  "formula": "Pm3IrPb",
  "functional": "PBE",
  "state": "optimized geometry",
  "magmom_total_mub_per_cell": 0.00,
  "space_group": "Pnma",
  "ef_ev_per_atom": -0.626,
  "cell": [[-0.3847, 2.7642, -3.5909], [3.4916, -5.8807, -4.9010], [-13.8850, -5.7773, -2.9597]],
  "species": ["Pm", "Pm", "Pm", "Pm", "Pm", "Pm", "Pm", "Pm", "Pm", "Pm", "Pm", "Pm", "Ir", "Ir", "Ir", "Ir", "Pb", "Pb", "Pb", "Pb"],
  "frac_coords": [[0.2500, 0.9491, 0.3655], [0.7500, 0.7762, 0.2043], [0.7500, 0.0509, 0.6345], [0.2500, 0.2928, 0.5050], [0.7500, 0.7072, 0.4950], [0.2500, 0.7238, 0.7043], [0.7500, 0.5509, 0.8655], [0.2500, 0.7928, 0.9950], [0.2500, 0.2238, 0.7957], [0.7500, 0.2072, 0.0050], [0.2500, 0.4491, 0.1345], [0.7500, 0.2762, 0.2957], [0.2500, 0.9102, 0.5541], [0.2500, 0.4102, 0.9459], [0.7500, 0.0898, 0.4459], [0.7500, 0.5898, 0.0541], [0.2500, 0.5600, 0.3412], [0.2500, 0.0600, 0.1588], [0.7500, 0.9400, 0.8412], [0.7500, 0.4400, 0.6588]]
}

---

No. 3
{
  "formula": "GaOsRu2",
  "functional": "PBE",
  "state": "optimized geometry",
  "magmom_total_mub_per_cell": 0.00,
  "space_group": "I-42d",
  "ef_ev_per_atom": 1.031,
  "cell": [[5.6827, 0.0000, 0.0000], [0.0000, 5.6827, 0.0000], [2.8414, 2.8414, 5.2613]],
  "species": ["Ga", "Ga", "Os", "Os", "Ru", "Ru", "Ru", "Ru"],
  "frac_coords": [[0.2500, 0.7500, 0.5000], [0.5000, 0.5000, 0.0000], [0.7500, 0.2500, 0.5000], [0.0000, 0.0000, 0.0000], [0.8750, 0.8871, 0.7500], [0.6371, 0.1250, 0.2500], [0.3750, 0.3629, 0.7500], [0.1129, 0.6250, 0.2500]]
}

---

No. 4
{
  "formula": "La3SmTm3Te8",
  "functional": "PBE",
  "state": "optimized geometry",
  "magmom_total_mub_per_cell": 0.00,
  "space_group": "R-3m",
  "final_energy_ev_per_atom": -5.316,
  "cell": [[8.8071, 0.0000, 0.0000], [-4.4035, 7.6278, -0.0264], [-0.0002, -5.0588, 7.3189]],
  "species": ["Te", "Te", "Te", "Te", "Te", "Te", "Te", "Te", "Sm", "La", "La", "La", "Tm", "Tm", "Tm"],
  "frac_coords": [[0.2692, 0.0140, 0.2588], [0.2568, 0.5136, 0.2704], [0.7308, 0.9860, 0.7412], [0.7448, 0.4895, 0.2587], [0.2552, 0.5105, 0.7413], [0.2553, 0.9860, 0.7413], [0.7447, 0.0140, 0.2587], [0.7432, 0.4864, 0.7296], [0.0000, 0.0000, 0.5000], [0.0000, 0.5000, 0.0000], [0.5000, 0.5000, 0.0000], [0.0000, 0.0000, 0.0000], [0.5000, 0.0000, 0.5000], [0.0000, 0.5000, 0.5000], [0.5000, 0.5000, 0.5000]]
}

---

No. 5
{
  "formula": "Th2Mg3Tl4",
  "functional": "PBE",
  "state": "optimized geometry",
  "magmom_total_mub_per_cell": 0.00,
  "space_group": "Cmce",
  "ef_ev_per_atom": -0.094,
  "cell": [[-0.4854, 5.2332, 3.9153], [-8.1052, 1.0586, -2.4197], [-2.2906, -7.5767, 4.3580]],
  "species": ["Th", "Th", "Th", "Th", "Tl", "Tl", "Tl", "Tl", "Tl", "Tl", "Tl", "Tl", "Mg", "Mg", "Mg", "Mg", "Mg", "Mg"],
  "frac_coords": [[0.3946, 0.0941, 0.7891], [0.1054, 0.5941, 0.2109], [0.8946, 0.4059, 0.7891], [0.6054, 0.9059, 0.2109], [0.1783, 0.9644, 0.3566], [0.3217, 0.4644, 0.6434], [0.6783, 0.5356, 0.3566], [0.8030, 0.2500, 0.1060], [0.3030, 0.2500, 0.1060], [0.8217, 0.0356, 0.6434], [0.1970, 0.7500, 0.8940], [0.6970, 0.7500, 0.8940], [0.4741, 0.2500, 0.4483], [0.5259, 0.7500, 0.5517], [0.0259, 0.7500, 0.5517], [0.0000, 0.0000, 0.0000], [0.5000, 0.5000, 0.0000], [0.9741, 0.2500, 0.4483]]
}

---

No. 6
{
  "formula": "Sm5Ho2Er12",
  "functional": "PBE",
  "state": "optimized geometry",
  "magmom_total_mub_per_cell": 0.00,
  "space_group": "C2/m",
  "ef_ev_per_atom": 0.121,
  "cell": [[9.2354, 0.0000, 0.0000], [-4.6177, 7.6559, 1.1329], [0.0000, -1.5684, 8.4197]],
  "species": ["Sm", "Sm", "Sm", "Sm", "Sm", "Er", "Er", "Er", "Er", "Er", "Er", "Er", "Er", "Er", "Er", "Er", "Er", "Ho", "Ho"],
  "frac_coords": [[0.2306, 0.4613, 0.5714], [0.2935, 0.5869, 0.9814], [0.0000, 0.0000, 0.5000], [0.7694, 0.5387, 0.4286], [0.7065, 0.4131, 0.0186], [0.5564, 0.1129, 0.3349], [0.1803, 0.7411, 0.3322], [0.0309, 0.7037, 0.7603], [0.5608, 0.7411, 0.3322], [0.8197, 0.2589, 0.6678], [0.6728, 0.7037, 0.7603], [0.9691, 0.2963, 0.2397], [0.9257, 0.8514, 0.1251], [0.3272, 0.2963, 0.2397], [0.4436, 0.8871, 0.6651], [0.0743, 0.1486, 0.8749], [0.4392, 0.2589, 0.6678], [0.3265, 0.0000, 0.0000], [0.6735, 0.0000, 0.0000]]
}

---

No. 7
{
  "formula": "Nb",
  "functional": "PBE",
  "state": "optimized geometry",
  "magmom_total_mub_per_cell": 0.00,
  "space_group": "Fd-3m",
  "ef_ev_per_atom": 2.524,
  "cell": [[-0.4330, 5.5128, -2.1755], [-5.1463, 0.7321, 2.8795], [2.9394, 2.0939, 4.7209]],
  "species": ["Nb", "Nb", "Nb", "Nb", "Nb", "Nb", "Nb", "Nb"],
  "frac_coords": [[0.0000, 0.5000, 0.5000], [0.5000, 0.0000, 0.5000], [0.2500, 0.7500, 0.7500], [0.7500, 0.7500, 0.2500], [0.0000, 0.0000, 0.0000], [0.2500, 0.2500, 0.2500], [0.5000, 0.5000, 0.0000], [0.7500, 0.2500, 0.7500]]
}

---

No. 8
{
  "formula": "Ba2GaCuAg",
  "functional": "PBE",
  "state": "optimized geometry",
  "magmom_total_mub_per_cell": 0.00,
  "space_group": "P4/mmm",
  "ef_ev_per_atom": -0.093,
  "cell": [[-2.0374, 0.1792, 5.8197], [1.0174, -6.0599, 0.5428], [4.2642, 0.8473, 1.4668]],
  "species": ["Ba", "Ba", "Ga", "Cu", "Ag"],
  "frac_coords": [[0.0000, 0.5000, 0.0000], [0.5000, 0.0000, 0.0000], [0.0000, 0.0000, 0.5000], [0.0000, 0.0000, 0.0000], [0.5000, 0.5000, 0.5000]]
}